# 1
## Ta2MoRu (PBEsol)

Data for a relaxed structure of Ta2MoRu.

Output
E above lowest polymorph in meV/atom: 465
ΔE_f in eV per formula unit: 0.45
Spin magnetization in Bohr magnetons per cell: 0.00

POSCAR file:
```
Ta2MoRu
1.0
1.511 0.872 8.281
-1.511 0.872 8.281
0.000 -1.744 8.281
Ta Mo Ru
2 1 1
direct
0.250 0.250 0.250 Ta
0.750 0.750 0.750 Ta
0.500 0.500 0.500 Mo
0.000 0.000 0.000 Ru
```



# 2
## TaMo2Ru (PBEsol)

Data for a relaxed structure of TaMo2Ru.

Output
E above lowest polymorph in meV/atom: 0
ΔE_f in eV per formula unit: -0.38
Spin magnetization in Bohr magnetons per cell: 0.00

POSCAR file:
```
TaMo2Ru
1.0
3.129 0.000 0.000
0.000 3.129 0.000
0.000 0.000 6.286
Ta Mo Ru
1 2 1
direct
0.000 0.000 0.000 Ta
0.000 0.000 0.489 Mo
0.500 0.500 0.259 Mo
0.500 0.500 0.757 Ru
```